No. 1
VASP calculation (GGA-PBE) on an optimized crystal structure of Li4TlPb5.

Output
- formation energy from the elements (meV/atom) = -202
- M_tot (μB/cell) = 0.00

Lattice parameters (Å, degrees): 3.621 3.621 18.611 90.00 90.00 90.00
Positions (direct):
Li: 0.000 0.000 0.093
Li: 0.000 0.000 0.274
Li: 0.000 0.000 0.726
Li: 0.000 0.000 0.907
Tl: 0.000 0.000 0.500
Pb: 0.500 0.500 0.000
Pb: 0.500 0.500 0.184
Pb: 0.500 0.500 0.369
Pb: 0.500 0.500 0.631
Pb: 0.500 0.500 0.816



No. 2
VASP calculation (GGA-PBE) on an optimized crystal structure of LiTl2Pb.

Output
- formation energy from the elements (meV/atom) = -90
- energy above the lowest structure with this stoichiometry (eV per atom) = 0.0036
- M_tot (μB/cell) = 0.00

Lattice parameters (Å, degrees): 9.626 9.626 9.626 150.75 150.75 41.84
Positions (direct):
Li: 0.250 0.750 0.500
Li: 0.750 0.250 0.500
Tl: 0.000 0.500 0.500
Tl: 0.151 0.151 0.000
Tl: 0.500 0.000 0.500
Tl: 0.849 0.849 0.000
Pb: 0.359 0.359 0.000
Pb: 0.641 0.641 0.000



No. 3
VASP calculation (GGA-PBE) on an optimized crystal structure of LiTlPb.

Output
- formation energy from the elements (meV/atom) = -121
- M_tot (μB/cell) = 0.00

Lattice parameters (Å, degrees): 4.738 6.096 6.596 114.70 91.25 111.89
Positions (direct):
Li: 0.000 0.000 0.000
Li: 0.335 0.656 0.180
Tl: 0.343 0.682 0.693
Tl: 0.637 0.279 0.314
Pb: 0.692 0.365 0.861
Pb: 0.991 0.971 0.495



No. 4
VASP calculation (GGA-PBE) on an optimized crystal structure of LiTl3Pb2.

Output
- formation energy from the elements (meV/atom) = -27
- M_tot (μB/cell) = 0.00

Lattice parameters (Å, degrees): 3.357 5.382 9.662 90.00 90.00 90.00
Positions (direct):
Li: 0.000 0.000 0.000
Tl: 0.000 0.000 0.320
Tl: 0.000 0.500 0.510
Tl: 0.000 0.500 0.853
Pb: 0.500 0.000 0.694
Pb: 0.500 0.500 0.160



No. 5
VASP calculation (GGA-PBE) on an optimized crystal structure of Li6TlPb3.

Output
- formation energy from the elements (meV/atom) = -166
- energy above the lowest structure with this stoichiometry (eV per atom) = 0.1023
- M_tot (μB/cell) = 0.00

Lattice parameters (Å, degrees): 7.016 7.016 7.016 113.63 113.63 113.63
Positions (direct):
Li: 0.085 0.085 0.831
Li: 0.085 0.831 0.085
Li: 0.207 0.207 0.569
Li: 0.207 0.569 0.207
Li: 0.569 0.207 0.207
Li: 0.831 0.085 0.085
Tl: 0.573 0.573 0.573
Pb: 0.160 0.659 0.659
Pb: 0.659 0.160 0.659
Pb: 0.659 0.659 0.160



No. 6
VASP calculation (GGA-PBE) on an optimized crystal structure of Li4Tl5Pb2.

Output
- formation energy from the elements (meV/atom) = -143
- M_tot (μB/cell) = 0.00

Lattice parameters (Å, degrees): 3.588 6.973 10.955 85.76 89.91 89.59
Positions (direct):
Li: 0.001 0.262 0.001
Li: 0.001 0.268 0.677
Li: 0.999 0.732 0.323
Li: 0.999 0.738 0.999
Tl: 0.012 0.155 0.380
Tl: 0.500 0.019 0.846
Tl: 0.500 0.500 0.500
Tl: 0.500 0.981 0.154
Tl: 0.988 0.845 0.620
Pb: 0.494 0.525 0.826
Pb: 0.506 0.475 0.174



No. 7
VASP calculation (GGA-PBE) on an optimized crystal structure of Li6Tl12Pb.

Output
- formation energy from the elements (meV/atom) = -83
- M_tot (μB/cell) = 0.00

Lattice parameters (Å, degrees): 8.581 8.581 8.581 109.47 109.47 109.47
Positions (direct):
Li: 0.141 0.641 0.500
Li: 0.359 0.500 0.859
Li: 0.500 0.141 0.641
Li: 0.500 0.859 0.359
Li: 0.641 0.500 0.141
Li: 0.859 0.359 0.500
Tl: 0.098 0.816 0.282
Tl: 0.184 0.282 0.466
Tl: 0.184 0.718 0.902
Tl: 0.282 0.098 0.816
Tl: 0.282 0.466 0.184
Tl: 0.466 0.184 0.282
Tl: 0.534 0.816 0.718
Tl: 0.718 0.534 0.816
Tl: 0.718 0.902 0.184
Tl: 0.816 0.282 0.098
Tl: 0.816 0.718 0.534
Tl: 0.902 0.184 0.718
Pb: 0.000 0.000 0.000



No. 8
VASP calculation (GGA-PBE) on an optimized crystal structure of LiTl3Pb.

Output
- formation energy from the elements (meV/atom) = 91
- energy above the lowest structure with this stoichiometry (eV per atom) = 0.1136
- M_tot (μB/cell) = 0.00

Lattice parameters (Å, degrees): 5.244 5.244 5.244 90.00 90.00 90.00
Positions (direct):
Li: 0.000 0.000 0.000
Tl: 0.000 0.000 0.500
Tl: 0.000 0.500 0.000
Tl: 0.500 0.000 0.000
Pb: 0.500 0.500 0.500



No. 9
VASP calculation (GGA-PBE) on an optimized crystal structure of Li6Tl3Pb.

Output
- formation energy from the elements (meV/atom) = 73
- energy above the lowest structure with this stoichiometry (eV per atom) = 0.3182
- M_tot (μB/cell) = 0.00

Lattice parameters (Å, degrees): 7.370 7.370 7.370 60.00 60.00 60.00
Positions (direct):
Li: 0.250 0.250 0.750
Li: 0.250 0.750 0.250
Li: 0.250 0.750 0.750
Li: 0.750 0.250 0.250
Li: 0.750 0.250 0.750
Li: 0.750 0.750 0.250
Tl: 0.000 0.000 0.000
Tl: 0.250 0.250 0.250
Tl: 0.750 0.750 0.750
Pb: 0.500 0.500 0.500



No. 10
VASP calculation (GGA-PBE) on an optimized crystal structure of Li4Tl3Pb.

Output
- formation energy from the elements (meV/atom) = -236
- M_tot (μB/cell) = 0.00

Lattice parameters (Å, degrees): 7.741 7.741 7.741 142.38 142.38 54.26
Positions (direct):
Li: 0.125 0.625 0.500
Li: 0.375 0.875 0.500
Li: 0.625 0.125 0.500
Li: 0.875 0.375 0.500
Tl: 0.000 0.000 0.000
Tl: 0.251 0.251 0.000
Tl: 0.749 0.749 0.000
Pb: 0.500 0.500 0.000



No. 11
VASP calculation (GGA-PBE) on an optimized crystal structure of Li4TlPb2.

Output
- formation energy from the elements (meV/atom) = -167
- energy above the lowest structure with this stoichiometry (eV per atom) = 0.0000
- M_tot (μB/cell) = 0.00

Lattice parameters (Å, degrees): 6.004 6.004 6.004 108.51 108.51 111.41
Positions (direct):
Li: 0.000 0.000 0.500
Li: 0.000 0.500 0.000
Li: 0.500 0.000 0.000
Li: 0.500 0.500 0.500
Tl: 0.000 0.000 0.000
Pb: 0.000 0.500 0.500
Pb: 0.500 0.000 0.500



No. 12
VASP calculation (GGA-PBE) on an optimized crystal structure of Li2TlPb2.

Output
- formation energy from the elements (meV/atom) = -18
- energy above the lowest structure with this stoichiometry (eV per atom) = 0.1452
- M_tot (μB/cell) = 0.00

Lattice parameters (Å, degrees): 7.403 7.403 7.403 144.96 144.96 50.39
Positions (direct):
Li: 0.250 0.750 0.500
Li: 0.750 0.250 0.500
Tl: 0.000 0.000 0.000
Pb: 0.389 0.389 0.000
Pb: 0.611 0.611 0.000



No. 13
VASP calculation (GGA-PBE) on an optimized crystal structure of LiTl2Pb4.

Output
- formation energy from the elements (meV/atom) = 170
- energy above the lowest structure with this stoichiometry (eV per atom) = 0.1915
- M_tot (μB/cell) = 0.00

Lattice parameters (Å, degrees): 9.346 9.346 9.346 148.38 148.38 45.32
Positions (direct):
Li: 0.000 0.000 0.000
Tl: 0.351 0.351 0.000
Tl: 0.649 0.649 0.000
Pb: 0.000 0.500 0.500
Pb: 0.159 0.159 0.000
Pb: 0.500 0.000 0.500
Pb: 0.841 0.841 0.000



No. 14
VASP calculation (GGA-PBE) on an optimized crystal structure of Li6Tl2Pb3.

Output
- formation energy from the elements (meV/atom) = -133
- M_tot (μB/cell) = 0.00

Lattice parameters (Å, degrees): 16.223 16.223 16.223 165.82 165.82 20.11
Positions (direct):
Li: 0.119 0.619 0.500
Li: 0.222 0.222 0.000
Li: 0.381 0.881 0.500
Li: 0.619 0.119 0.500
Li: 0.778 0.778 0.000
Li: 0.881 0.381 0.500
Tl: 0.052 0.052 0.000
Tl: 0.948 0.948 0.000
Pb: 0.314 0.314 0.000
Pb: 0.500 0.500 0.000
Pb: 0.686 0.686 0.000



No. 15
VASP calculation (GGA-PBE) on an optimized crystal structure of Li3TlPb12.

Output
- formation energy from the elements (meV/atom) = -86
- M_tot (μB/cell) = 0.00

Lattice parameters (Å, degrees): 4.769 4.769 20.380 90.00 90.00 90.00
Positions (direct):
Li: 0.000 0.000 0.000
Li: 0.000 0.000 0.244
Li: 0.000 0.000 0.756
Tl: 0.000 0.000 0.500
Pb: 0.000 0.500 0.123
Pb: 0.000 0.500 0.366
Pb: 0.000 0.500 0.634
Pb: 0.000 0.500 0.877
Pb: 0.500 0.000 0.123
Pb: 0.500 0.000 0.366
Pb: 0.500 0.000 0.634
Pb: 0.500 0.000 0.877
Pb: 0.500 0.500 0.000
Pb: 0.500 0.500 0.245
Pb: 0.500 0.500 0.500
Pb: 0.500 0.500 0.755



No. 16
VASP calculation (GGA-PBE) on an optimized crystal structure of Li4Tl3Pb2.

Output
- formation energy from the elements (meV/atom) = -202
- energy above the lowest structure with this stoichiometry (eV per atom) = 0.0000
- M_tot (μB/cell) = 0.00

Lattice parameters (Å, degrees): 4.987 4.987 9.756 90.02 90.02 59.99
Positions (direct):
Li: 0.001 0.001 0.315
Li: 0.334 0.334 0.109
Li: 0.666 0.666 0.891
Li: 0.999 0.999 0.685
Tl: 0.000 0.000 0.000
Tl: 0.334 0.334 0.417
Tl: 0.666 0.666 0.583
Pb: 0.332 0.332 0.783
Pb: 0.668 0.668 0.217



No. 17
VASP calculation (GGA-PBE) on an optimized crystal structure of Li3TlPb5.

Output
- formation energy from the elements (meV/atom) = -91
- M_tot (μB/cell) = 0.00

Lattice parameters (Å, degrees): 9.159 9.159 6.542 90.00 90.00 120.00
Positions (direct):
Li: 0.000 0.339 0.250
Li: 0.000 0.661 0.750
Li: 0.339 0.000 0.250
Li: 0.339 0.339 0.750
Li: 0.661 0.000 0.750
Li: 0.661 0.661 0.250
Tl: 0.000 0.000 0.000
Tl: 0.000 0.000 0.500
Pb: 0.000 0.328 0.750
Pb: 0.000 0.672 0.250
Pb: 0.328 0.000 0.750
Pb: 0.328 0.328 0.250
Pb: 0.333 0.667 0.000
Pb: 0.333 0.667 0.500
Pb: 0.667 0.333 0.000
Pb: 0.667 0.333 0.500
Pb: 0.672 0.000 0.250
Pb: 0.672 0.672 0.750



No. 18
VASP calculation (GGA-PBE) on an optimized crystal structure of Li2Tl8Pb.

Output
- formation energy from the elements (meV/atom) = -33
- M_tot (μB/cell) = 0.00

Lattice parameters (Å, degrees): 8.590 8.590 5.981 93.14 93.14 44.23
Positions (direct):
Li: 0.242 0.242 0.387
Li: 0.758 0.758 0.613
Tl: 0.095 0.095 0.087
Tl: 0.153 0.648 0.418
Tl: 0.287 0.287 0.886
Tl: 0.352 0.847 0.582
Tl: 0.648 0.153 0.418
Tl: 0.713 0.713 0.114
Tl: 0.847 0.352 0.582
Tl: 0.905 0.905 0.913
Pb: 0.500 0.500 0.000



No. 19
VASP calculation (GGA-PBE) on an optimized crystal structure of Li2TlPb2.

Output
- formation energy from the elements (meV/atom) = -133
- energy above the lowest structure with this stoichiometry (eV per atom) = 0.0302
- M_tot (μB/cell) = 0.00

Lattice parameters (Å, degrees): 5.727 5.727 5.727 131.72 112.38 87.35
Positions (direct):
Li: 0.223 0.000 0.223
Li: 0.777 0.000 0.777
Tl: 0.500 0.500 0.000
Pb: 0.196 0.696 0.500
Pb: 0.804 0.304 0.500



No. 20
VASP calculation (GGA-PBE) on an optimized crystal structure of LiTl2Pb.

Output
- formation energy from the elements (meV/atom) = -94
- energy above the lowest structure with this stoichiometry (eV per atom) = 0.0000
- M_tot (μB/cell) = 0.00

Lattice parameters (Å, degrees): 5.081 5.081 8.251 90.00 90.00 90.00
Positions (direct):
Li: 0.250 0.750 0.000
Li: 0.750 0.250 0.000
Tl: 0.250 0.250 0.199
Tl: 0.250 0.750 0.500
Tl: 0.750 0.250 0.500
Tl: 0.750 0.750 0.801
Pb: 0.250 0.250 0.781
Pb: 0.750 0.750 0.219